Hf3BN2: relaxed, PBE-GGA.

Cell lengths 5.675, 5.675, 5.675 Å; angles 146.39, 131.88, 59.98 degrees
Fractional positions:
Hf 0.000 0.000 0.000
Hf 0.331 0.331 0.000
Hf 0.669 0.669 0.000
B 0.500 0.000 0.500
N 0.165 0.665 0.500
N 0.835 0.335 0.500

Output
As for the formation energy from raw total energies: -1.435 eV per atom.

---

Zn4Pt2Au3: relaxed, PBE-GGA.

Cell lengths 4.071, 4.664, 8.466 Å; angles 79.38, 89.94, 64.16 degrees
Fractional positions:
Zn 0.005 0.487 0.331
Zn 0.335 0.831 0.110
Zn 0.665 0.169 0.890
Zn 0.995 0.513 0.669
Pt 0.334 0.832 0.791
Pt 0.666 0.168 0.209
Au 0.000 0.500 0.000
Au 0.333 0.832 0.426
Au 0.667 0.168 0.574

Output
The value obtained for the formation enthalpy at 0 K is -0.32 eV/atom.

---

K3CaPu2S6: relaxed, PBE-GGA.

Cell lengths 7.113, 7.113, 7.696 Å; angles 98.87, 98.87, 120.00 degrees
Fractional positions:
K 0.000 0.000 0.000
K 0.337 0.663 0.000
K 0.663 0.337 0.000
Ca 0.500 0.500 0.500
Pu 0.167 0.833 0.500
Pu 0.833 0.167 0.500
S 0.086 0.433 0.299
S 0.220 0.220 0.700
S 0.433 0.086 0.299
S 0.567 0.914 0.701
S 0.780 0.780 0.300
S 0.914 0.567 0.701

Output
As for the formation energy from raw total energies: -1.620 eV per atom.

---

NaSiP2Cl: relaxed, PBE-GGA.

Cell lengths 4.984, 4.984, 4.849 Å; angles 90.00, 90.00, 90.00 degrees
Fractional positions:
Na 0.000 0.000 0.000
Si 0.500 0.500 0.500
P 0.000 0.500 0.000
P 0.500 0.000 0.000
Cl 0.000 0.000 0.500

Output
As for the formation energy from raw total energies: 1.197 eV per atom.

---

What are the density of states at the Fermi level values for these records? In order: 1.596, 1.799, 17.678, 4.376 states/eV/f.u..
What are the M_tot values for these records? In order: 0.00, 0.00, 9.00, 1.42 μB/cell.